DFT (PBE) results for a relaxed Ce2TmHfP4 crystal.

Output
- Final energy: -7.47 eV per atom
- DOS at the Fermi energy: 8.62 states/eV per cell

Lattice parameters (Å, degrees): 6.8301 3.9398 6.8323 90.00 109.38 90.00
Closest atoms and distances in Å follow each position.
Space group P2/m (No. 10)
Asymmetric unit:
Ce1 0.0000 0.0000 0.0000 [1 per cell]  6 P 2.82
Ce2 0.0000 0.5000 0.5000 [1 per cell]  6 P 2.88-2.89
Tm1 0.5000 0.0000 0.5000 [1 per cell]  6 P 2.76
Hf1 0.5000 0.5000 0.0000 [1 per cell]  6 P 2.69-2.70
P1 0.2645 0.5000 0.2465 [2 per cell]  1 Hf 2.69, 2 Tm 2.76, 3 Ce 2.82-2.89
P2 0.2694 0.0000 0.7641 [2 per cell]  2 Hf 2.70, 1 Tm 2.76, 3 Ce 2.82-2.88